Crystalline NdMgAu at its relaxed geometry, computed with GGA-PBE.

Cell: 4.8162 4.8162 3.6527 Å, 90.00 90.00 120.00°
With the nearest neighbours (Å) after each atom.
Element x y z (fractional)
1 Nd 0.0000 0.0000 0.0000  6 Mg 3.33, 6 Au 3.33, 2 Nd 3.65
2 Mg 0.6667 0.3333 0.5000  3 Au 2.78
3 Au 0.3333 0.6667 0.5000  3 Mg 2.78

Properties
DFT formation energy (meV/atom): -520.2
V (A^3/atom): 24.46
Space group: P-6m2 (187)
Total magnetic moment (μB/cell): 0.000

---

Crystalline NdMg3Au3 at its relaxed geometry, computed with GGA-PBE.

Cell: 7.2221 7.2221 7.2221 Å, 90.00 90.00 90.00°
With the nearest neighbours (Å) after each atom.
Element x y z (fractional)
1 Nd 0.0000 0.0000 0.0000  12 Mg 4.04, 12 Au 4.04
2 Nd 0.5000 0.5000 0.5000  12 Mg 4.04, 12 Au 4.04
3 Mg 0.0000 0.2500 0.5000  4 Au 2.55
4 Mg 0.0000 0.7500 0.5000  4 Au 2.55
5 Mg 0.2500 0.5000 0.0000  4 Au 2.55
6 Mg 0.5000 0.0000 0.2500  4 Au 2.55
7 Mg 0.5000 0.0000 0.7500  4 Au 2.55
8 Mg 0.7500 0.5000 0.0000  4 Au 2.55
9 Au 0.0000 0.5000 0.2500  4 Mg 2.55
10 Au 0.0000 0.5000 0.7500  4 Mg 2.55
11 Au 0.2500 0.0000 0.5000  4 Mg 2.55
12 Au 0.5000 0.2500 0.0000  4 Mg 2.55
13 Au 0.5000 0.7500 0.0000  4 Mg 2.55
14 Au 0.7500 0.0000 0.5000  4 Mg 2.55

Properties
DFT formation energy (meV/atom): -132.4
V (A^3/atom): 26.91
Space group: Pm-3n (223)
Total magnetic moment (μB/cell): 0.000

---

Crystalline NdMgAu at its relaxed geometry, computed with GGA-PBE.

Cell: 7.8852 7.8852 4.0957 Å, 90.00 90.00 120.00°
With the nearest neighbours (Å) after each atom.
Element x y z (fractional)
1 Nd 0.0000 0.5878 0.0000  5 Au 3.14-3.25, 6 Mg 3.40-3.49
2 Nd 0.4122 0.4122 0.0000  5 Au 3.14-3.25, 6 Mg 3.40-3.49
3 Nd 0.5878 0.0000 0.0000  5 Au 3.14-3.25, 6 Mg 3.40-3.49
4 Mg 0.0000 0.2440 0.5000  4 Au 2.81-3.04
5 Mg 0.2440 0.0000 0.5000  4 Au 2.81-3.04
6 Mg 0.7560 0.7560 0.5000  4 Au 2.81-3.04
7 Au 0.0000 0.0000 0.0000  6 Mg 2.81
8 Au 0.3333 0.6667 0.5000  3 Mg 3.04, 6 Nd 3.14
9 Au 0.6667 0.3333 0.5000  3 Mg 3.04, 6 Nd 3.14

Properties
DFT formation energy (meV/atom): -652.0
V (A^3/atom): 24.50
Space group: P-62m (189)
Total magnetic moment (μB/cell): 0.000

---

Crystalline NdMg9Au2 at its relaxed geometry, computed with GGA-PBE.

Cell: 9.2069 9.2069 9.2069 Å, 99.66 99.66 131.62°
With the nearest neighbours (Å) after each atom.
Element x y z (fractional)
1 Nd 0.3750 0.6250 0.7500  18 Mg 3.62-3.89
2 Nd 0.6250 0.3750 0.2500  18 Mg 3.62-3.89
3 Mg 0.1250 0.8750 0.2500  4 Au 3.12, 8 Mg 3.12
4 Mg 0.1325 0.5621 0.3267  2 Au 2.85-2.86, 7 Mg 2.90-3.16
5 Mg 0.1325 0.8058 0.5704  2 Au 2.85-2.86, 7 Mg 2.90-3.16
6 Mg 0.1942 0.2646 0.3267  2 Au 2.85-2.86, 7 Mg 2.90-3.16
7 Mg 0.1942 0.8675 0.9296  2 Au 2.85-2.86, 7 Mg 2.90-3.16
8 Mg 0.2646 0.1942 0.8267  2 Au 2.85-2.86, 7 Mg 2.90-3.16
9 Mg 0.2646 0.4379 0.0704  2 Au 2.85-2.86, 7 Mg 2.90-3.16
10 Mg 0.4379 0.2646 0.5704  2 Au 2.85-2.86, 7 Mg 2.90-3.16
11 Mg 0.4379 0.8675 0.1733  2 Au 2.85-2.86, 7 Mg 2.90-3.16
12 Mg 0.5621 0.1325 0.8267  2 Au 2.85-2.86, 7 Mg 2.90-3.16
13 Mg 0.5621 0.7354 0.4296  2 Au 2.85-2.86, 7 Mg 2.90-3.16
14 Mg 0.7354 0.5621 0.9296  2 Au 2.85-2.86, 7 Mg 2.90-3.16
15 Mg 0.7354 0.8058 0.1733  2 Au 2.85-2.86, 7 Mg 2.90-3.16
16 Mg 0.8058 0.1325 0.0704  2 Au 2.85-2.86, 7 Mg 2.90-3.16
17 Mg 0.8058 0.7354 0.6733  2 Au 2.85-2.86, 7 Mg 2.90-3.16
18 Mg 0.8675 0.1942 0.4296  2 Au 2.85-2.86, 7 Mg 2.90-3.16
19 Mg 0.8675 0.4379 0.6733  2 Au 2.85-2.86, 7 Mg 2.90-3.16
20 Mg 0.8750 0.1250 0.7500  4 Au 3.12, 8 Mg 3.12
21 Au 0.0000 0.0000 0.0000  10 Mg 2.85-3.12
22 Au 0.0000 0.0000 0.5000  10 Mg 2.85-3.12
23 Au 0.0000 0.5000 0.0000  10 Mg 2.85-3.12
24 Au 0.5000 0.0000 0.5000  10 Mg 2.85-3.12

Properties
DFT formation energy (meV/atom): -291.4
V (A^3/atom): 22.17
Space group: I4_1/amd (141)
Total magnetic moment (μB/cell): 0.000

---

Crystalline Nd3Mg2Au4 at its relaxed geometry, computed with GGA-PBE.

Cell: 5.6611 5.6611 9.3234 Å, 93.14 93.14 47.78°
With the nearest neighbours (Å) after each atom.
Element x y z (fractional)
1 Nd 0.0000 0.0000 0.0000  6 Au 3.15-3.25
2 Nd 0.3735 0.3735 0.6113  6 Au 2.99-3.31
3 Nd 0.6265 0.6265 0.3887  6 Au 2.99-3.31
4 Mg 0.3208 0.3208 0.2172  5 Au 2.79-2.87
5 Mg 0.6792 0.6792 0.7828  5 Au 2.79-2.87
6 Au 0.0820 0.0820 0.6366  2 Mg 2.82, 1 Au 2.98, 3 Nd 3.04-3.15
7 Au 0.3007 0.3007 0.9171  3 Mg 2.79-2.87, 2 Au 2.99, 1 Nd 2.99
8 Au 0.6993 0.6993 0.0829  3 Mg 2.79-2.87, 2 Au 2.99, 1 Nd 2.99
9 Au 0.9180 0.9180 0.3634  2 Mg 2.82, 1 Au 2.98, 3 Nd 3.04-3.15

Properties
DFT formation energy (meV/atom): -667.6
V (A^3/atom): 24.54
Space group: C2/m (12)
Total magnetic moment (μB/cell): 0.000

---

Crystalline NdMg2Au2 at its relaxed geometry, computed with GGA-PBE.

Cell: 4.1985 4.1985 6.4794 Å, 90.00 90.00 90.00°
With the nearest neighbours (Å) after each atom.
Element x y z (fractional)
1 Nd 0.0000 0.0000 0.0000  8 Au 3.28
2 Mg 0.0000 0.5000 0.5000  4 Au 2.80, 4 Mg 2.97
3 Mg 0.5000 0.0000 0.5000  4 Au 2.80, 4 Mg 2.97
4 Au 0.5000 0.5000 0.2152  1 Au 2.79, 4 Mg 2.80
5 Au 0.5000 0.5000 0.7848  1 Au 2.79, 4 Mg 2.80

Properties
DFT formation energy (meV/atom): -590.0
V (A^3/atom): 22.84
Space group: P4/mmm (123)
Total magnetic moment (μB/cell): 0.000

---

Crystalline Nd3Mg7Au2 at its relaxed geometry, computed with GGA-PBE.

Cell: 10.1378 10.1378 10.1378 Å, 34.39 34.39 34.39°
With the nearest neighbours (Å) after each atom.
Element x y z (fractional)
1 Nd 0.0000 0.0000 0.0000  6 Au 3.46, 12 Mg 3.72
2 Nd 0.1456 0.1456 0.1456  12 Mg 3.51-3.60, 3 Nd 3.66
3 Nd 0.8544 0.8544 0.8544  12 Mg 3.51-3.60, 3 Nd 3.66
4 Mg 0.0750 0.5784 0.5784  2 Au 2.80-2.81, 5 Mg 2.98-3.09
5 Mg 0.4216 0.4216 0.9250  2 Au 2.80-2.81, 5 Mg 2.98-3.09
6 Mg 0.4216 0.9250 0.4216  2 Au 2.80-2.81, 5 Mg 2.98-3.09
7 Mg 0.5000 0.5000 0.5000  6 Mg 3.09
8 Mg 0.5784 0.0750 0.5784  2 Au 2.80-2.81, 5 Mg 2.98-3.09
9 Mg 0.5784 0.5784 0.0750  2 Au 2.80-2.81, 5 Mg 2.98-3.09
10 Mg 0.9250 0.4216 0.4216  2 Au 2.80-2.81, 5 Mg 2.98-3.09
11 Au 0.3337 0.3337 0.3337  6 Mg 2.80-2.81
12 Au 0.6663 0.6663 0.6663  6 Mg 2.80-2.81

Properties
DFT formation energy (meV/atom): -301.2
V (A^3/atom): 24.71
Space group: R-3m (166)
Total magnetic moment (μB/cell): 0.000

---

Crystalline Nd2Mg3Au2 at its relaxed geometry, computed with GGA-PBE.

Cell: 5.8093 5.8093 7.5096 Å, 95.08 95.08 43.95°
With the nearest neighbours (Å) after each atom.
Element x y z (fractional)
1 Nd 0.1235 0.1235 0.3494  5 Au 3.05-3.22
2 Nd 0.8765 0.8765 0.6506  5 Au 3.05-3.22
3 Mg 0.1833 0.1833 0.8676  2 Au 2.80
4 Mg 0.5000 0.5000 0.0000  2 Au 2.85, 4 Mg 3.16
5 Mg 0.8167 0.8167 0.1324  2 Au 2.80
6 Au 0.4063 0.4063 0.3421  3 Mg 2.80-2.85, 1 Au 2.96, 1 Nd 3.05
7 Au 0.5937 0.5937 0.6579  3 Mg 2.80-2.85, 1 Au 2.96, 1 Nd 3.05

Properties
DFT formation energy (meV/atom): -494.1
V (A^3/atom): 25.01
Space group: C2/m (12)
Total magnetic moment (μB/cell): 0.000